# 1
The following is a DFT calculation (GGA-PBE) of a relaxed Sc3TcB crystal.

```
Sc3TcB
1.0
4.5448 0.0000 0.0000
0.0000 4.5448 0.0000
0.0000 0.0000 4.5448
Sc Tc B
3 1 1
Direct
0.0000 0.0000 0.5000 Sc
0.0000 0.5000 0.0000 Sc
0.5000 0.0000 0.0000 Sc
0.5000 0.5000 0.5000 Tc
0.0000 0.0000 0.0000 B
```

Results
SG: No. 221
DFT formation energy in kJ/mol of formula units: 99
Volume in Å³ per cell: 93.9
M_tot in μB/f.u.: 0.00
Distance to the lowest polymorph of the same formula in eV/atom: 0.000

---

# 2
The following is a DFT calculation (GGA-PBE) of a relaxed Y2ZnAg2 crystal.

```
Y2ZnAg2
1.0
7.6523 0.0000 0.0000
0.0000 7.6523 0.0000
0.0000 0.0000 3.9920
Y Zn Ag
4 2 4
Direct
0.1743 0.3257 0.0000 Y
0.3257 0.8257 0.0000 Y
0.6743 0.1743 0.0000 Y
0.8257 0.6743 0.0000 Y
0.0000 0.0000 0.5000 Zn
0.5000 0.5000 0.5000 Zn
0.1294 0.6294 0.5000 Ag
0.3706 0.1294 0.5000 Ag
0.6294 0.8706 0.5000 Ag
0.8706 0.3706 0.5000 Ag
```

Results
SG: No. 127
DFT formation energy in kJ/mol of formula units: -115
Volume in Å³ per cell: 233.8
M_tot in μB/f.u.: 0.00
Distance to the lowest polymorph of the same formula in eV/atom: 0.000

---

# 3
The following is a DFT calculation (GGA-PBE) of a relaxed Zr2MoOs2 crystal.

```
Zr2MoOs2
1.0
6.5490 0.0000 0.0000
0.0000 6.5490 0.0000
0.0000 0.0000 4.4022
Zr Mo Os
4 2 4
Direct
0.1805 0.3195 0.0000 Zr
0.3195 0.8195 0.0000 Zr
0.6805 0.1805 0.0000 Zr
0.8195 0.6805 0.0000 Zr
0.0000 0.0000 0.5000 Mo
0.5000 0.5000 0.5000 Mo
0.1367 0.6367 0.5000 Os
0.3633 0.1367 0.5000 Os
0.6367 0.8633 0.5000 Os
0.8633 0.3633 0.5000 Os
```

Results
SG: No. 127
DFT formation energy in kJ/mol of formula units: -57
Volume in Å³ per cell: 188.8
M_tot in μB/f.u.: 0.00

---

# 4
The following is a DFT calculation (GGA-PBE) of a relaxed PmAgSnAu crystal.

```
PmAgSnAu
1.0
0.0000 3.5694 3.5694
3.5694 0.0000 3.5694
3.5694 3.5694 0.0000
Pm Ag Sn Au
1 1 1 1
Direct
0.0000 0.0000 0.0000 Pm
0.7500 0.7500 0.7500 Ag
0.5000 0.5000 0.5000 Sn
0.2500 0.2500 0.2500 Au
```

Results
SG: No. 216
DFT formation energy in kJ/mol of formula units: -209
Volume in Å³ per cell: 91.0
M_tot in μB/f.u.: 0.00

---

Repeat the fourth record exactly.
The following is a DFT calculation (GGA-PBE) of a relaxed PmAgSnAu crystal.

```
PmAgSnAu
1.0
0.0000 3.5694 3.5694
3.5694 0.0000 3.5694
3.5694 3.5694 0.0000
Pm Ag Sn Au
1 1 1 1
Direct
0.0000 0.0000 0.0000 Pm
0.7500 0.7500 0.7500 Ag
0.5000 0.5000 0.5000 Sn
0.2500 0.2500 0.2500 Au
```

Results
SG: No. 216
DFT formation energy in kJ/mol of formula units: -209
Volume in Å³ per cell: 91.0
M_tot in μB/f.u.: 0.00